Sr2SmCo2O6 after structural relaxation, computed with PBE+U.

raw total energy	-6.39	eV/atom
density of states at the Fermi level	0.668	states/eV/atom
crystal system	trigonal
magnetic moment	7.0	Bohr magnetons per cell

Structure (extended XYZ):
```
11
Lattice="-2.4002 1.4078 -5.3078 2.2551 -2.3558 -5.0279 -3.7669 -4.8807 -2.9743" Properties=species:S:1:pos:R:3 pbc="T T T"
Sr -2.3801 -3.6916 -10.0527
Sr -1.5319 -2.1371 -3.2574
Sm 0.0000 0.0000 0.0000
Co -2.8415 -4.0014 -6.5429
Co -1.0705 -1.8273 -6.7672
O -1.1426 -2.0493 -8.5524
O 0.1052 -2.7812 -5.7929
O -2.3151 -0.8246 -5.9384
O -1.5969 -5.0042 -7.3717
O -4.0173 -3.0475 -7.5172
O -2.7694 -3.7794 -4.7577
```